[1]
# ScMn2AuC, optimized geometry, DFT PBE
# * final energy: -38.29 eV per formula unit
data_ScMn2AuC
_chemical_formula_sum 'Sc1 Mn2 Au1 C1'
_symmetry_space_group_name_H-M 'P 4/m m m'
_symmetry_Int_Tables_number 123
_symmetry_space_group_name_Hall '-P 4 2'
_cell_length_a 3.913
_cell_length_b 3.913
_cell_length_c 4.476
_cell_angle_alpha 90.00
_cell_angle_beta 90.00
_cell_angle_gamma 90.00
loop_
_atom_site_label
_atom_site_type_symbol
_atom_site_fract_x
_atom_site_fract_y
_atom_site_fract_z
_atom_site_occupancy
Sc1 Sc 0.000 0.000 0.000 1
Mn1 Mn 0.000 0.500 0.500 1
Au1 Au 0.500 0.500 0.000 1
C1 C 0.000 0.000 0.500 1


[2]
# Mn2SiAuC, optimized geometry, DFT PBE
# * raw formation energy: 0.235 eV/atom
data_Mn2SiAuC
_chemical_formula_sum 'Mn2 Si1 Au1 C1'
_symmetry_space_group_name_H-M 'P 4/m m m'
_symmetry_Int_Tables_number 123
_symmetry_space_group_name_Hall '-P 4 2'
_cell_length_a 4.065
_cell_length_b 4.065
_cell_length_c 3.880
_cell_angle_alpha 90.00
_cell_angle_beta 90.00
_cell_angle_gamma 90.00
loop_
_atom_site_label
_atom_site_type_symbol
_atom_site_fract_x
_atom_site_fract_y
_atom_site_fract_z
_atom_site_occupancy
Mn1 Mn 0.000 0.500 0.000 1
Si1 Si 0.000 0.000 0.500 1
Au1 Au 0.500 0.500 0.500 1
C1 C 0.000 0.000 0.000 1


[3]
# MnSnAuC, optimized geometry, DFT PBE
# * polymorph energy (0 for the lowest one): 103 meV per atom
data_MnSnAuC
_chemical_formula_sum 'Mn2 Sn2 Au2 C2'
_symmetry_space_group_name_H-M 'C 1 m 1'
_symmetry_Int_Tables_number 8
_cell_length_a 13.029
_cell_length_b 3.062
_cell_length_c 3.524
_cell_angle_alpha 90.00
_cell_angle_beta 90.16
_cell_angle_gamma 90.00
loop_
_symmetry_equiv_pos_as_xyz
'x,y,z'
'x,-y,z'
'x+1/2,y+1/2,z'
'x+1/2,-y+1/2,z'
loop_
_atom_site_label
_atom_site_type_symbol
_atom_site_fract_x
_atom_site_fract_y
_atom_site_fract_z
_atom_site_occupancy
Mn1 Mn 0.000 0.000 0.000 1
Sn1 Sn 0.307 0.000 0.497 1
Au1 Au 0.124 0.500 0.502 1
C1 C 0.408 0.000 0.998 1


[4]
# MnSnAuC, optimized geometry, DFT PBE
# * polymorph energy (0 for the lowest one): 23 meV per atom
data_MnSnAuC
_chemical_formula_sum 'Mn3 Sn3 Au3 C3'
_symmetry_space_group_name_H-M 'R 3 m'
_symmetry_Int_Tables_number 160
_symmetry_space_group_name_Hall 'R 3 -2"'
_cell_length_a 3.2188
_cell_length_b 3.2188
_cell_length_c 21.2054
_cell_angle_alpha 90.00
_cell_angle_beta 90.00
_cell_angle_gamma 120.00
loop_
_atom_site_label
_atom_site_type_symbol
_atom_site_fract_x
_atom_site_fract_y
_atom_site_fract_z
_atom_site_occupancy
Mn1 Mn 0.0000 0.0000 0.0000 1
Sn1 Sn 0.0000 0.0000 0.1261 1
Au1 Au 0.0000 0.0000 0.5665 1
C1 C 0.0000 0.0000 0.3445 1


[5]
# MnSnAuC, optimized geometry, DFT PBE
# * polymorph energy (0 for the lowest one): 158 meV per atom
data_MnSnAuC
_chemical_formula_sum 'Mn1 Sn1 Au1 C1'
_symmetry_space_group_name_H-M 'P 1'
_symmetry_Int_Tables_number 1
_cell_length_a 3.107
_cell_length_b 4.849
_cell_length_c 5.207
_cell_angle_alpha 63.67
_cell_angle_beta 89.91
_cell_angle_gamma 71.34
loop_
_symmetry_equiv_pos_as_xyz
'x,y,z'
loop_
_atom_site_label
_atom_site_type_symbol
_atom_site_fract_x
_atom_site_fract_y
_atom_site_fract_z
_atom_site_occupancy
Mn1 Mn 0.000 0.000 0.000 1
Sn1 Sn 0.216 0.569 0.754 1
Au1 Au 0.883 0.234 0.401 1
C1 C 0.623 0.752 0.115 1


[6]
# MnSnAuC, optimized geometry, DFT PBE
# * polymorph energy (0 for the lowest one): 29 meV per atom
data_MnSnAuC
_chemical_formula_sum 'Mn3 Sn3 Au3 C3'
_symmetry_space_group_name_H-M 'R 3 m'
_symmetry_Int_Tables_number 160
_symmetry_space_group_name_Hall 'R 3 -2"'
_cell_length_a 3.2696
_cell_length_b 3.2696
_cell_length_c 19.4595
_cell_angle_alpha 90.00
_cell_angle_beta 90.00
_cell_angle_gamma 120.00
loop_
_atom_site_label
_atom_site_type_symbol
_atom_site_fract_x
_atom_site_fract_y
_atom_site_fract_z
_atom_site_occupancy
Mn1 Mn 0.0000 0.0000 0.0000 1
Sn1 Sn 0.0000 0.0000 0.2258 1
Au1 Au 0.0000 0.0000 0.4418 1
C1 C 0.0000 0.0000 0.6629 1


[7]
# MnSnAuC, optimized geometry, DFT PBE
# * polymorph energy (0 for the lowest one): 15 meV per atom
data_MnSnAuC
_chemical_formula_sum 'Mn2 Sn2 Au2 C2'
_symmetry_space_group_name_H-M 'C 1 m 1'
_symmetry_Int_Tables_number 8
_cell_length_a 16.271
_cell_length_b 2.872
_cell_length_c 2.875
_cell_angle_alpha 90.00
_cell_angle_beta 100.00
_cell_angle_gamma 90.00
loop_
_symmetry_equiv_pos_as_xyz
'x,y,z'
'x,-y,z'
'x+1/2,y+1/2,z'
'x+1/2,-y+1/2,z'
loop_
_atom_site_label
_atom_site_type_symbol
_atom_site_fract_x
_atom_site_fract_y
_atom_site_fract_z
_atom_site_occupancy
Mn1 Mn 0.000 0.000 0.000 1
Sn1 Sn 0.318 0.500 0.825 1
Au1 Au 0.143 0.500 0.640 1
C1 C 0.001 0.500 0.501 1


[8]
# MnSnAuC, optimized geometry, DFT PBE
# * polymorph energy (0 for the lowest one): 23 meV per atom
data_MnSnAuC
_chemical_formula_sum 'Mn3 Sn3 Au3 C3'
_symmetry_space_group_name_H-M 'R 3 m'
_symmetry_Int_Tables_number 160
_symmetry_space_group_name_Hall 'R 3 -2"'
_cell_length_a 3.2699
_cell_length_b 3.2699
_cell_length_c 20.8165
_cell_angle_alpha 90.00
_cell_angle_beta 90.00
_cell_angle_gamma 120.00
loop_
_atom_site_label
_atom_site_type_symbol
_atom_site_fract_x
_atom_site_fract_y
_atom_site_fract_z
_atom_site_occupancy
Mn1 Mn 0.0000 0.0000 0.0000 1
Sn1 Sn 0.0000 0.0000 0.4297 1
Au1 Au 0.0000 0.0000 0.5597 1
C1 C 0.0000 0.0000 0.6654 1


[9]
# MnSnAuC, optimized geometry, DFT PBE
# * polymorph energy (0 for the lowest one): 0 meV per atom
data_MnSnAuC
_chemical_formula_sum 'Mn1 Sn1 Au1 C1'
_symmetry_space_group_name_H-M 'P 1'
_symmetry_Int_Tables_number 1
_cell_length_a 2.882
_cell_length_b 2.891
_cell_length_c 7.856
_cell_angle_alpha 99.19
_cell_angle_beta 90.46
_cell_angle_gamma 90.01
loop_
_symmetry_equiv_pos_as_xyz
'x,y,z'
loop_
_atom_site_label
_atom_site_type_symbol
_atom_site_fract_x
_atom_site_fract_y
_atom_site_fract_z
_atom_site_occupancy
Mn1 Mn 0.000 0.000 0.000 1
Sn1 Sn 0.984 0.209 0.376 1
Au1 Au 0.493 0.373 0.706 1
C1 C 0.500 0.498 0.998 1


[10]
# MnSnAuC, optimized geometry, DFT PBE
# * polymorph energy (0 for the lowest one): 1 meV per atom
data_MnSnAuC
_chemical_formula_sum 'Mn1 Sn1 Au1 C1'
_symmetry_space_group_name_H-M 'P 3 m 1'
_symmetry_Int_Tables_number 156
_cell_length_a 3.2717
_cell_length_b 3.2717
_cell_length_c 6.7091
_cell_angle_alpha 90.00
_cell_angle_beta 90.00
_cell_angle_gamma 120.00
loop_
_symmetry_equiv_pos_as_xyz
'x,y,z'
'-y,x-y,z'
'-x+y,-x,z'
'-y,-x,z'
'-x+y,y,z'
'x,x-y,z'
loop_
_atom_site_label
_atom_site_type_symbol
_atom_site_fract_x
_atom_site_fract_y
_atom_site_fract_z
_atom_site_occupancy
Mn1 Mn 0.0000 0.0000 0.0000 1
Sn1 Sn 0.6667 0.3333 0.3209 1
Au1 Au 0.3333 0.6667 0.6526 1
C1 C 0.3333 0.6667 0.9765 1


[11]
# MnSnAuC, optimized geometry, DFT PBE
# * polymorph energy (0 for the lowest one): 4 meV per atom
data_MnSnAuC
_chemical_formula_sum 'Mn1 Sn1 Au1 C1'
_symmetry_space_group_name_H-M 'P 3 m 1'
_symmetry_Int_Tables_number 156
_cell_length_a 3.2834
_cell_length_b 3.2834
_cell_length_c 6.9642
_cell_angle_alpha 90.00
_cell_angle_beta 90.00
_cell_angle_gamma 120.00
loop_
_symmetry_equiv_pos_as_xyz
'x,y,z'
'-y,x-y,z'
'-x+y,-x,z'
'-y,-x,z'
'-x+y,y,z'
'x,x-y,z'
loop_
_atom_site_label
_atom_site_type_symbol
_atom_site_fract_x
_atom_site_fract_y
_atom_site_fract_z
_atom_site_occupancy
Mn1 Mn 0.0000 0.0000 0.0000 1
Sn1 Sn 0.0000 0.0000 0.6216 1
Au1 Au 0.6667 0.3333 0.3154 1
C1 C 0.6667 0.3333 0.9973 1


[12]
# MnSnAuC, optimized geometry, DFT PBE
# * polymorph energy (0 for the lowest one): 36 meV per atom
data_MnSnAuC
_chemical_formula_sum 'Mn1 Sn1 Au1 C1'
_symmetry_space_group_name_H-M 'P 3 m 1'
_symmetry_Int_Tables_number 156
_cell_length_a 3.2062
_cell_length_b 3.2062
_cell_length_c 7.2758
_cell_angle_alpha 90.00
_cell_angle_beta 90.00
_cell_angle_gamma 120.00
loop_
_symmetry_equiv_pos_as_xyz
'x,y,z'
'-y,x-y,z'
'-x+y,-x,z'
'-y,-x,z'
'-x+y,y,z'
'x,x-y,z'
loop_
_atom_site_label
_atom_site_type_symbol
_atom_site_fract_x
_atom_site_fract_y
_atom_site_fract_z
_atom_site_occupancy
Mn1 Mn 0.0000 0.0000 0.0000 1
Sn1 Sn 0.3333 0.6667 0.7189 1
Au1 Au 0.3333 0.6667 0.3469 1
C1 C 0.3333 0.6667 0.0552 1


| no. | mass density (Mg/m³) |
| --- | --- |
| 1 | 8.8 |
| 2 | 9.0 |
| 3 | 9.0 |
| 4 | 10.0 |
| 5 | 9.7 |
| 6 | 10.6 |
| 7 | 9.6 |
| 8 | 9.9 |
| 9 | 9.8 |
| 10 | 10.2 |
| 11 | 9.8 |
| 12 | 9.8 |